Material: CdWNF2
Method: DFT, PBE+U
State: relaxed

a = 4.297 Å, b = 4.297 Å, c = 4.090 Å
α = 90.00°, β = 90.00°, γ = 90.00°
Space group P4/mmm (No. 123)
Asymmetric unit:
Cd1 0.000 0.000 0.000 [1 per cell]
W1 0.500 0.500 0.500 [1 per cell]
N1 0.500 0.500 0.000 [1 per cell]
F1 0.000 0.500 0.500 [2 per cell]

Output
Raw total energy (eV per atom): -4.9628
Volume (Å³ per cell): 75.52